[1]
{"formula": "Sm2ErPaBi4", "functional": "PBE", "state": "optimized geometry", "lattice_angstrom": [[4.501, 0.000, 0.000], [0.000, 7.805, 0.144], [0.000, -2.718, 7.340]], "species": ["Sm", "Sm", "Er", "Pa", "Bi", "Bi", "Bi", "Bi"], "fractional_positions": [[0.500, 0.000, 0.500], [0.000, 0.500, 0.500], [0.500, 0.500, 0.000], [0.000, 0.000, 0.000], [0.500, 0.250, 0.245], [0.500, 0.750, 0.755], [0.000, 0.253, 0.758], [0.000, 0.747, 0.242]], "formation_energy_ev_per_atom": -0.676, "sg": "P2/m"}

=====

[2]
{"formula": "Dy3Ga", "functional": "PBE", "state": "optimized geometry", "lattice_angstrom": [[-3.850, -0.690, 2.462], [-1.218, -3.418, -2.862], [4.927, -1.176, 3.038]], "species": ["Ga", "Dy", "Dy", "Dy"], "fractional_positions": [[0.000, 0.000, 0.000], [0.750, 0.250, 0.500], [0.250, 0.750, 0.500], [0.500, 0.500, 0.000]], "polymorph_energy_mev_per_atom": 83, "formation_energy_ev_per_atom": -0.206, "sg": "I4/mmm"}

=====

[3]
{"formula": "Sm4HgSb3", "functional": "PBE", "state": "optimized geometry", "lattice_angstrom": [[6.311, 0.000, 0.000], [0.000, 6.311, 0.000], [0.000, 0.000, 6.311]], "species": ["Sb", "Sb", "Sb", "Hg", "Sm", "Sm", "Sm", "Sm"], "fractional_positions": [[0.000, 0.500, 0.500], [0.500, 0.000, 0.500], [0.500, 0.500, 0.000], [0.000, 0.000, 0.000], [0.500, 0.000, 0.000], [0.000, 0.500, 0.000], [0.000, 0.000, 0.500], [0.500, 0.500, 0.500]], "energy_ev_per_atom": -4.845, "sg": "Pm-3m"}

=====

Number 1: total magnetic moment 0.13 μB per atom, Fermi-level density of states 0.914 states/eV per atom. Number 2: total magnetic moment 0.00 μB per atom, Fermi-level density of states 1.197 states/eV per atom. Number 3: total magnetic moment 0.09 μB per atom, Fermi-level density of states 0.895 states/eV per atom.